This record from Alexandria via LeMat-Bulk describes a relaxed SmErZnSn crystal. The functional is PBE.

Properties
For the density of states at the Fermi level, the calculation gives 0.51 states/eV/atom. The total energy is -4.14 eV per atom. Its formation energy is -48 kJ/mol of atoms.

```
data_SmErZnSn
_chemical_formula_sum 'Sm4 Er4 Zn4 Sn4'
_cell_length_a 7.3744
_cell_length_b 7.3744
_cell_length_c 7.3744
_cell_angle_alpha 90.00
_cell_angle_beta 90.00
_cell_angle_gamma 90.00
_space_group_name_H-M_alt 'F -4 3 m'
_space_group_IT_number 216
_space_group_name_Hall 'F -4 2 3'
loop_
_atom_site_label
_atom_site_fract_x
_atom_site_fract_y
_atom_site_fract_z
Sm1 0.0000 0.0000 0.0000
Er1 0.0000 0.0000 0.5000
Zn1 0.2500 0.2500 0.2500
Sn1 0.2500 0.2500 0.7500
```